No. 1
DFT (PBE) results for crystalline MnP2Se at its relaxed geometry.

Properties
DFT total energy	-5.916	eV/atom
space group	C2/m, No. 12

abc: 7.0419 2.7311 7.6028
angles: 90.00 109.88 90.00
Atoms (fractional coordinates):
Mn 0.0000 0.0000 0.0000
Mn 0.5000 0.5000 0.0000
P 0.1505 0.5000 0.8470
P 0.3495 0.0000 0.1530
P 0.6505 0.0000 0.8470
P 0.8495 0.5000 0.1530
Se 0.0000 0.5000 0.5000
Se 0.5000 0.0000 0.5000



No. 2
DFT (PBE) results for crystalline Zn2Co2Ag at its relaxed geometry.

Properties
space group	P4/mbm, No. 127
formation energy from the elements	142	meV per atom

abc: 7.1846 7.1846 2.6836
angles: 90.00 90.00 90.00
Atoms (fractional coordinates):
Zn 0.1816 0.3184 0.0000
Zn 0.3184 0.8184 0.0000
Zn 0.6816 0.1816 0.0000
Zn 0.8184 0.6816 0.0000
Co 0.1115 0.6115 0.5000
Co 0.3885 0.1115 0.5000
Co 0.6115 0.8885 0.5000
Co 0.8885 0.3885 0.5000
Ag 0.0000 0.0000 0.5000
Ag 0.5000 0.5000 0.5000



No. 3
DFT (PBE) results for crystalline CrPtSe2 at its relaxed geometry.

Properties
DFT total energy	-5.865	eV/atom
space group	C2/m, No. 12

abc: 13.1658 3.0670 4.5775
angles: 90.00 98.13 90.00
Atoms (fractional coordinates):
Cr 0.0000 0.0000 0.0000
Cr 0.5000 0.5000 0.0000
Pt 0.0000 0.5000 0.5000
Pt 0.5000 0.0000 0.5000
Se 0.1395 0.5000 0.1998
Se 0.3605 0.0000 0.8002
Se 0.6395 0.0000 0.1998
Se 0.8605 0.5000 0.8002



No. 4
DFT (PBE) results for crystalline La2AlCu9 at its relaxed geometry.

Properties
space group	R-3m, No. 166
formation energy from the elements	-27	meV per atom

abc: 9.0602 9.0602 9.0602
angles: 32.71 32.71 32.71
Atoms (fractional coordinates):
La 0.1351 0.1351 0.1351
La 0.8649 0.8649 0.8649
Al 0.0000 0.0000 0.0000
Cu 0.0778 0.5778 0.5778
Cu 0.3330 0.3330 0.3330
Cu 0.4222 0.4222 0.9222
Cu 0.4222 0.9222 0.4222
Cu 0.5000 0.5000 0.5000
Cu 0.5778 0.0778 0.5778
Cu 0.5778 0.5778 0.0778
Cu 0.6670 0.6670 0.6670
Cu 0.9222 0.4222 0.4222



No. 5
DFT (PBE) results for crystalline FeSi2Mo at its relaxed geometry.

Properties
DFT total energy	-7.732	eV/atom
space group	P4/mmm, No. 123

abc: 4.1180 4.1180 2.9666
angles: 90.00 90.00 90.00
Atoms (fractional coordinates):
Fe 0.0000 0.0000 0.0000
Si 0.0000 0.5000 0.5000
Si 0.5000 0.0000 0.5000
Mo 0.5000 0.5000 0.0000



No. 6
DFT (PBE) results for crystalline PmAsO4F at its relaxed geometry.

Properties
DFT total energy	-6.549	eV/atom
space group	C2/m, No. 12

abc: 6.1232 6.1232 6.8737
angles: 103.48 103.48 74.51
Atoms (fractional coordinates):
Pm 0.2027 0.2027 0.1067
Pm 0.7973 0.7973 0.8933
As 0.3543 0.3543 0.7282
As 0.6457 0.6457 0.2718
O 0.1198 0.4766 0.8465
O 0.2807 0.2807 0.4721
O 0.4626 0.4626 0.2186
O 0.4766 0.1198 0.8465
O 0.5234 0.8802 0.1535
O 0.5374 0.5374 0.7814
O 0.7193 0.7193 0.5279
O 0.8802 0.5234 0.1535
F 0.0113 0.0113 0.8185
F 0.9887 0.9887 0.1815



No. 7
DFT (PBE) results for crystalline CrSb2PdPb at its relaxed geometry.

Properties
DFT total energy	-4.535	eV/atom
space group	P4/mmm, No. 123

abc: 5.2646 5.2646 4.7995
angles: 90.00 90.00 90.00
Atoms (fractional coordinates):
Cr 0.0000 0.0000 0.0000
Sb 0.0000 0.5000 0.5000
Sb 0.5000 0.0000 0.5000
Pd 0.0000 0.0000 0.5000
Pb 0.5000 0.5000 0.0000



No. 8
DFT (PBE) results for crystalline LiYC at its relaxed geometry.

Properties
space group	F-43m, No. 216
formation energy from the elements	-135	meV per atom

abc: 5.6923 5.6923 5.6923
angles: 90.00 90.00 90.00
Atoms (fractional coordinates):
Li 0.0000 0.0000 0.0000
Li 0.0000 0.5000 0.5000
Li 0.5000 0.0000 0.5000
Li 0.5000 0.5000 0.0000
Y 0.0000 0.0000 0.5000
Y 0.0000 0.5000 0.0000
Y 0.5000 0.0000 0.0000
Y 0.5000 0.5000 0.5000
C 0.2500 0.2500 0.7500
C 0.2500 0.7500 0.2500
C 0.7500 0.2500 0.2500
C 0.7500 0.7500 0.7500



No. 9
DFT (PBE) results for crystalline TcHg3Sb at its relaxed geometry.

Properties
DFT total energy	-2.189	eV/atom
space group	Pm-3m, No. 221

abc: 5.2844 5.2844 5.2844
angles: 90.00 90.00 90.00
Atoms (fractional coordinates):
Tc 0.0000 0.0000 0.0000
Hg 0.0000 0.0000 0.5000
Hg 0.0000 0.5000 0.0000
Hg 0.5000 0.0000 0.0000
Sb 0.5000 0.5000 0.5000



No. 10
DFT (PBE) results for crystalline YPtN2O at its relaxed geometry.

Properties
DFT total energy	-5.676	eV/atom
space group	P4/mmm, No. 123

abc: 4.4610 4.4610 4.1782
angles: 90.00 90.00 90.00
Atoms (fractional coordinates):
Y 0.0000 0.0000 0.0000
Pt 0.5000 0.5000 0.5000
N 0.0000 0.5000 0.0000
N 0.5000 0.0000 0.0000
O 0.0000 0.0000 0.5000



No. 11
DFT (PBE) results for crystalline RbIrOs at its relaxed geometry.

Properties
space group	P-1, No. 2
formation energy from the elements	601	meV per atom

abc: 4.5850 4.9576 7.7884
angles: 90.07 92.62 105.76
Atoms (fractional coordinates):
Rb 0.2298 0.2535 0.3571
Rb 0.7702 0.7465 0.6429
Ir 0.2697 0.3288 0.9105
Ir 0.7303 0.6712 0.0895
Os 0.2536 0.8147 0.9971
Os 0.7464 0.1853 0.0029



No. 12
DFT (PBE) results for crystalline Er2MgSn at its relaxed geometry.

Properties
space group	Pnma, No. 62
formation energy from the elements	-245	meV per atom

abc: 7.7605 3.4575 16.3161
angles: 90.00 90.00 90.00
Atoms (fractional coordinates):
Er 0.1466 0.2500 0.2165
Er 0.1764 0.7500 0.0301
Er 0.3236 0.2500 0.5301
Er 0.3534 0.7500 0.7165
Er 0.6466 0.2500 0.2835
Er 0.6764 0.7500 0.4699
Er 0.8236 0.2500 0.9699
Er 0.8534 0.7500 0.7835
Mg 0.0008 0.2500 0.4059
Mg 0.4992 0.7500 0.9059
Mg 0.5008 0.2500 0.0941
Mg 0.9992 0.7500 0.5941
Sn 0.1670 0.2500 0.8606
Sn 0.3330 0.7500 0.3606
Sn 0.6670 0.2500 0.6394
Sn 0.8330 0.7500 0.1394



No. 13
DFT (PBE) results for crystalline ScBCl3 at its relaxed geometry.

Properties
DFT total energy	-4.104	eV/atom
space group	Pm-3m, No. 221

abc: 5.0087 5.0087 5.0087
angles: 90.00 90.00 90.00
Atoms (fractional coordinates):
Sc 0.0000 0.0000 0.0000
B 0.5000 0.5000 0.5000
Cl 0.0000 0.0000 0.5000
Cl 0.0000 0.5000 0.0000
Cl 0.5000 0.0000 0.0000



No. 14
DFT (PBE) results for crystalline Cd11Pb at its relaxed geometry.

Properties
space group	I4_1/amd, No. 141
formation energy from the elements	55	meV per atom

abc: 9.4497 9.4497 9.4497
angles: 99.78 99.78 131.32
Atoms (fractional coordinates):
Cd 0.0000 0.0000 0.0000
Cd 0.0000 0.0000 0.5000
Cd 0.0000 0.5000 0.0000
Cd 0.1235 0.5518 0.3310
Cd 0.1235 0.7925 0.5718
Cd 0.1250 0.8750 0.2500
Cd 0.2075 0.2793 0.3310
Cd 0.2075 0.8765 0.9282
Cd 0.2793 0.2075 0.8310
Cd 0.2793 0.4482 0.0718
Cd 0.4482 0.2793 0.5718
Cd 0.4482 0.8765 0.1690
Cd 0.5000 0.0000 0.5000
Cd 0.5518 0.1235 0.8310
Cd 0.5518 0.7207 0.4282
Cd 0.7207 0.5518 0.9282
Cd 0.7207 0.7925 0.1690
Cd 0.7925 0.1235 0.0718
Cd 0.7925 0.7207 0.6690
Cd 0.8750 0.1250 0.7500
Cd 0.8765 0.2075 0.4282
Cd 0.8765 0.4482 0.6690
Pb 0.3750 0.6250 0.7500
Pb 0.6250 0.3750 0.2500



No. 15
DFT (PBE) results for crystalline KSb2TeRh at its relaxed geometry.

Properties
DFT total energy	-2.256	eV/atom
space group	P4/mmm, No. 123

abc: 5.7150 5.7150 5.7849
angles: 90.00 90.00 90.00
Atoms (fractional coordinates):
K 0.0000 0.0000 0.0000
Sb 0.0000 0.5000 0.0000
Sb 0.5000 0.0000 0.0000
Te 0.0000 0.0000 0.5000
Rh 0.5000 0.5000 0.5000



No. 16
DFT (PBE) results for crystalline SnAsSe at its relaxed geometry.

Properties
DFT total energy	-4.237	eV/atom
space group	P2_1/m, No. 11

abc: 4.2846 3.9750 9.0679
angles: 90.00 94.99 90.00
Atoms (fractional coordinates):
Sn 0.2326 0.2500 0.3244
Sn 0.7674 0.7500 0.6756
As 0.1871 0.2500 0.0029
As 0.8129 0.7500 0.9971
Se 0.2708 0.2500 0.6483
Se 0.7292 0.7500 0.3517



No. 17
DFT (PBE) results for crystalline HfGaPb3 at its relaxed geometry.

Properties
space group	Pm-3m, No. 221
formation energy from the elements	829	meV per atom

abc: 5.3768 5.3768 5.3768
angles: 90.00 90.00 90.00
Atoms (fractional coordinates):
Hf 0.0000 0.0000 0.0000
Ga 0.5000 0.5000 0.5000
Pb 0.0000 0.5000 0.5000
Pb 0.5000 0.0000 0.5000
Pb 0.5000 0.5000 0.0000



No. 18
DFT (PBE) results for crystalline NdHo2ErHg4 at its relaxed geometry.

Properties
space group	R-3m, No. 166
formation energy from the elements	-469	meV per atom

abc: 9.1969 9.1969 9.1969
angles: 33.32 33.32 33.32
Atoms (fractional coordinates):
Nd 0.0000 0.0000 0.0000
Ho 0.2491 0.2491 0.2491
Ho 0.7509 0.7509 0.7509
Er 0.5000 0.5000 0.5000
Hg 0.1272 0.1272 0.1272
Hg 0.3781 0.3781 0.3781
Hg 0.6219 0.6219 0.6219
Hg 0.8728 0.8728 0.8728



No. 19
DFT (PBE) results for crystalline LiMg3In3 at its relaxed geometry.

Properties
space group	R-3, No. 148
formation energy from the elements	-45	meV per atom

abc: 7.6415 7.6415 7.6415
angles: 65.19 65.19 65.19
Atoms (fractional coordinates):
Li 0.1654 0.1654 0.1654
Li 0.8346 0.8346 0.8346
Mg 0.0216 0.7278 0.3900
Mg 0.2722 0.6100 0.9784
Mg 0.3900 0.0216 0.7278
Mg 0.6100 0.9784 0.2722
Mg 0.7278 0.3900 0.0216
Mg 0.9784 0.2722 0.6100
In 0.1405 0.4492 0.7703
In 0.2297 0.8595 0.5508
In 0.4492 0.7703 0.1405
In 0.5508 0.2297 0.8595
In 0.7703 0.1405 0.4492
In 0.8595 0.5508 0.2297



No. 20
DFT (PBE) results for crystalline LaAs2Pb2 at its relaxed geometry.

Properties
space group	I4/mmm, No. 139
formation energy from the elements	-431	meV per atom

abc: 4.3913 4.3913 14.8586
angles: 90.00 90.00 90.00
Atoms (fractional coordinates):
La 0.0000 0.0000 0.0000
La 0.5000 0.5000 0.5000
As 0.0000 0.0000 0.4167
As 0.0000 0.0000 0.5833
As 0.5000 0.5000 0.0833
As 0.5000 0.5000 0.9167
Pb 0.0000 0.5000 0.2500
Pb 0.0000 0.5000 0.7500
Pb 0.5000 0.0000 0.2500
Pb 0.5000 0.0000 0.7500



| no. | ρ (g/cm³) |
| --- | --- |
| 1 | 4.730 |
| 2 | 8.548 |
| 3 | 7.351 |
| 4 | 7.535 |
| 5 | 6.864 |
| 6 | 4.237 |
| 7 | 7.604 |
| 8 | 3.884 |
| 9 | 9.245 |
| 10 | 6.551 |
| 11 | 9.131 |
| 12 | 7.245 |
| 13 | 2.143 |
| 14 | 8.303 |
| 15 | 4.510 |
| 16 | 5.884 |
| 17 | 9.292 |
| 18 | 11.472 |
| 19 | 4.012 |
| 20 | 8.150 |